[1]
Mo3WAu | SCAN | PBEsol geometry

Calculated values
The value obtained for the formation energy is 1.78 eV/atom. The density of states at the Fermi level is 4.0 states/eV/f.u. As for the space group: Pm-3m, No. 221.

Unit cell a=4.645 b=4.645 c=4.645 alpha=90.00 beta=90.00 gamma=90.00
Element x y z (fractional)
Mo  0.000  0.500  0.000
Mo  0.000  0.000  0.500
Mo  0.500  0.000  0.000
Au  0.500  0.500  0.500
W  0.000  0.000  0.000


[2]
MoW2Au | SCAN | PBEsol geometry

Calculated values
The value obtained for the formation energy is 0.17 eV/atom. The density of states at the Fermi level is 2.2 states/eV/f.u. The value obtained for the polymorph energy (0 for the lowest one) is 0 meV/atom. As for the space group: Cmm2, No. 35.

Unit cell a=2.715 b=2.715 c=9.009 alpha=90.00 beta=90.00 gamma=107.37
Element x y z (fractional)
Au  0.000  0.000  0.500
Mo  0.500  0.500  0.242
W  0.000  0.000  0.001
W  0.500  0.500  0.757


[3]
Y2MoAu | SCAN | PBEsol geometry

Calculated values
The value obtained for the formation energy is -0.22 eV/atom. The density of states at the Fermi level is 3.9 states/eV/f.u. As for the space group: P4/mmm, No. 123.

Unit cell a=3.488 b=4.925 c=4.925 alpha=90.00 beta=90.00 gamma=90.00
Site moments in Bohr magnetons follow the coordinates.
Element x y z (fractional)
Au  0.500  0.000  0.000  0.01
Mo  0.500  0.500  0.500  1.21
Y  0.000  0.000  0.500  0.06
Y  0.000  0.500  0.000  0.06


[4]
YMo2Au | SCAN | PBEsol geometry

Calculated values
The value obtained for the formation energy is 0.40 eV/atom. The density of states at the Fermi level is 2.8 states/eV/f.u. The value obtained for the polymorph energy (0 for the lowest one) is 274 meV/atom. As for the space group: P4/mmm, No. 123.

Unit cell a=2.787 b=2.787 c=9.157 alpha=90.00 beta=90.00 gamma=90.00
Element x y z (fractional)
Au  0.500  0.500  0.500
Mo  0.000  0.000  0.729
Mo  0.000  0.000  0.271
Y  0.500  0.500  0.000


[5]
YMo2Au | SCAN | PBEsol geometry

Calculated values
The value obtained for the formation energy is 0.12 eV/atom. The density of states at the Fermi level is 3.5 states/eV/f.u. The value obtained for the polymorph energy (0 for the lowest one) is 0 meV/atom. As for the space group: Pmmm, No. 47.

Unit cell a=3.461 b=4.359 c=4.770 alpha=90.00 beta=90.00 gamma=90.00
Element x y z (fractional)
Au  0.000  0.500  0.500
Mo  0.000  0.000  0.000
Mo  0.500  0.500  0.000
Y  0.500  0.000  0.500


[6]
YMo2Au | SCAN | PBEsol geometry

Calculated values
The value obtained for the formation energy is 0.16 eV/atom. The density of states at the Fermi level is 3.9 states/eV/f.u. The value obtained for the polymorph energy (0 for the lowest one) is 41 meV/atom. As for the space group: C2/m, No. 12.

Unit cell a=3.241 b=4.751 c=5.492 alpha=107.16 beta=107.16 gamma=90.00
Element x y z (fractional)
Au  0.000  0.500  0.000
Mo  0.266  0.321  0.531
Mo  0.734  0.679  0.469
Y  0.500  0.000  0.000


[7]
Zn2MoAu | SCAN | PBEsol geometry

Calculated values
The value obtained for the formation energy is 0.15 eV/atom. The density of states at the Fermi level is 1.7 states/eV/f.u. The value obtained for the polymorph energy (0 for the lowest one) is 131 meV/atom. As for the space group: Imm2, No. 44.

Unit cell a=2.732 b=4.608 c=5.422 alpha=115.14 beta=104.59 gamma=90.00
Element x y z (fractional)
Au  0.489  0.489  0.977
Mo  0.257  0.757  0.513
Zn  0.010  0.010  0.020
Zn  0.745  0.245  0.490


[8]
Zn2MoAu | SCAN | PBEsol geometry

Calculated values
The value obtained for the formation energy is 0.02 eV/atom. The density of states at the Fermi level is 2.2 states/eV/f.u. The value obtained for the polymorph energy (0 for the lowest one) is 0 meV/atom. As for the space group: P4/mmm, No. 123.

Unit cell a=4.006 b=3.691 c=4.004 alpha=90.00 beta=90.00 gamma=90.00
Element x y z (fractional)
Au  0.500  0.500  0.000
Mo  0.000  0.500  0.500
Zn  0.000  0.000  0.000
Zn  0.500  0.000  0.500


[9]
ZnMoAu3 | SCAN | PBEsol geometry

Calculated values
The value obtained for the formation energy is 1.19 eV/atom. The density of states at the Fermi level is 4.0 states/eV/f.u. As for the space group: Pm-3m, No. 221.

Unit cell a=4.958 b=4.958 c=4.958 alpha=90.00 beta=90.00 gamma=90.00
Element x y z (fractional)
Mo  0.000  0.000  0.000
Au  0.000  0.500  0.000
Au  0.000  0.000  0.500
Au  0.500  0.000  0.000
Zn  0.500  0.500  0.500


[10]
Zn2MoAu | SCAN | PBEsol geometry

Calculated values
The value obtained for the formation energy is 0.14 eV/atom. The density of states at the Fermi level is 1.6 states/eV/f.u. The value obtained for the polymorph energy (0 for the lowest one) is 126 meV/atom. As for the space group: Fm-3m, No. 225.

Unit cell a=4.367 b=4.367 c=4.367 alpha=60.00 beta=60.00 gamma=60.00
Site moments in Bohr magnetons follow the coordinates.
Element x y z (fractional)
Au  0.000  0.000  0.000  -0.02
Mo  0.500  0.500  0.500  2.17
Zn  0.250  0.250  0.250  0.01
Zn  0.750  0.750  0.750  0.01


[11]
Zn2MoAu | SCAN | PBEsol geometry

Calculated values
The value obtained for the formation energy is 0.21 eV/atom. The density of states at the Fermi level is 1.0 states/eV/f.u. The value obtained for the polymorph energy (0 for the lowest one) is 196 meV/atom. As for the space group: F-43m, No. 216.

Unit cell a=4.420 b=4.420 c=4.420 alpha=60.00 beta=60.00 gamma=60.00
Site moments in Bohr magnetons follow the coordinates.
Element x y z (fractional)
Au  0.500  0.500  0.500  0.10
Mo  0.250  0.250  0.250  2.13
Zn  0.000  0.000  0.000  0.04
Zn  0.750  0.750  0.750  -0.04


[12]
ZrMo3Au | SCAN | PBEsol geometry

Calculated values
The value obtained for the formation energy is 1.84 eV/atom. The density of states at the Fermi level is 6.7 states/eV/f.u. As for the space group: Pm-3m, No. 221.

Unit cell a=4.767 b=4.767 c=4.767 alpha=90.00 beta=90.00 gamma=90.00
Element x y z (fractional)
Mo  0.000  0.500  0.000
Mo  0.000  0.000  0.500
Mo  0.500  0.000  0.000
Au  0.000  0.000  0.000
Zr  0.500  0.500  0.500


[13]
ZrMoAu | SCAN | PBEsol geometry

Calculated values
The value obtained for the formation energy is -0.06 eV/atom. The density of states at the Fermi level is 2.6 states/eV/f.u. The value obtained for the polymorph energy (0 for the lowest one) is 0 meV/atom. As for the space group: I4mm, No. 107.

Unit cell a=3.452 b=3.452 c=5.108 alpha=109.75 beta=109.75 gamma=90.00
Element x y z (fractional)
Au  0.007  0.007  0.015
Mo  0.661  0.661  0.322
Zr  0.332  0.332  0.664


[14]
ZrMoAu | SCAN | PBEsol geometry

Calculated values
The value obtained for the formation energy is 0.38 eV/atom. The density of states at the Fermi level is 4.1 states/eV/f.u. The value obtained for the polymorph energy (0 for the lowest one) is 438 meV/atom. As for the space group: F-43m, No. 216.

Unit cell a=4.449 b=4.449 c=4.449 alpha=60.00 beta=60.00 gamma=60.00
Site moments in Bohr magnetons follow the coordinates.
Element x y z (fractional)
Au  0.250  0.250  0.250  0.09
Mo  0.000  0.000  0.000  0.91
Zr  0.500  0.500  0.500  0.01


[15]
ZrMoAu | SCAN | PBEsol geometry

Calculated values
The value obtained for the formation energy is 0.05 eV/atom. The density of states at the Fermi level is 3.4 states/eV/f.u. The value obtained for the polymorph energy (0 for the lowest one) is 111 meV/atom. As for the space group: P-6m2, No. 187.

Unit cell a=2.687 b=4.770 c=4.770 alpha=120.00 beta=90.00 gamma=90.00
Element x y z (fractional)
Au  0.834  0.000  0.000
Mo  0.833  0.667  0.333
Zr  0.333  0.333  0.667


[16]
ZrMo2Au | SCAN | PBEsol geometry

Calculated values
The value obtained for the formation energy is 0.10 eV/atom. The density of states at the Fermi level is 3.6 states/eV/f.u. The value obtained for the polymorph energy (0 for the lowest one) is 197 meV/atom. As for the space group: C2/m, No. 12.

Unit cell a=3.027 b=4.785 c=5.012 alpha=98.72 beta=107.58 gamma=90.00
Element x y z (fractional)
Au  0.000  0.500  0.000
Mo  0.265  0.260  0.530
Mo  0.735  0.740  0.470
Zr  0.500  0.000  0.000


[17]
ZrMo2Au | SCAN | PBEsol geometry

Calculated values
The value obtained for the formation energy is -0.09 eV/atom. The density of states at the Fermi level is 2.7 states/eV/f.u. The value obtained for the polymorph energy (0 for the lowest one) is 0 meV/atom. As for the space group: Pmmm, No. 47.

Unit cell a=3.534 b=4.272 c=4.484 alpha=90.00 beta=90.00 gamma=90.00
Element x y z (fractional)
Au  0.000  0.500  0.500
Mo  0.000  0.000  0.000
Mo  0.500  0.500  0.000
Zr  0.500  0.000  0.500


[18]
NaAu2N | SCAN | PBEsol geometry

Calculated values
As for the space group: I4_1/amd, No. 141.

Unit cell a=5.825 b=5.825 c=6.876 alpha=115.06 beta=115.06 gamma=90.00
Element x y z (fractional)
Na  0.000  0.000  0.000
Na  0.250  0.750  0.500
Au  0.625  0.375  0.750
Au  0.125  0.375  0.750
Au  0.625  0.875  0.250
Au  0.625  0.375  0.250
N  0.500  0.500  0.000
N  0.750  0.250  0.500


[19]
NaTeAuN2 | SCAN | PBEsol geometry

Calculated values
The density of states at the Fermi level is 2.6 states/eV/f.u. As for the space group: P4/mmm, No. 123.

Unit cell a=4.156 b=4.156 c=5.762 alpha=90.00 beta=90.00 gamma=90.00
Site moments in Bohr magnetons follow the coordinates.
Element x y z (fractional)
Na  0.500  0.500  0.500  0.00
Te  0.000  0.000  0.500  0.29
Au  0.000  0.000  0.000  0.26
N  0.000  0.500  0.000  1.17
N  0.500  0.000  0.000  1.17


[20]
NbAuN2 | SCAN | PBEsol geometry

Calculated values
The density of states at the Fermi level is 0.0 states/eV/f.u. As for the space group: I-42d, No. 122.

Unit cell a=4.913 b=4.913 c=5.915 alpha=114.54 beta=114.54 gamma=90.00
Element x y z (fractional)
Nb  0.750  0.250  0.500
Nb  0.500  0.500  0.000
Au  0.250  0.750  0.500
Au  0.000  0.000  0.000
N  0.821  0.375  0.250
N  0.429  0.875  0.250
N  0.625  0.571  0.750
N  0.125  0.179  0.750


[21]
NiAuS2N | SCAN | PBEsol geometry

Calculated values
The density of states at the Fermi level is 4.1 states/eV/f.u. As for the space group: P4/mmm, No. 123.

Unit cell a=3.345 b=4.657 c=4.657 alpha=90.00 beta=90.00 gamma=90.00
Element x y z (fractional)
Ni  0.000  0.000  0.000
S  0.000  0.000  0.500
S  0.000  0.500  0.000
Au  0.500  0.500  0.500
N  0.500  0.000  0.000


[22]
PbAu2NO | SCAN | PBEsol geometry

Calculated values
The density of states at the Fermi level is 1.5 states/eV/f.u. As for the space group: P4/mmm, No. 123.

Unit cell a=4.072 b=4.072 c=5.489 alpha=90.00 beta=90.00 gamma=90.00
Site moments in Bohr magnetons follow the coordinates.
Element x y z (fractional)
Pb  0.500  0.500  0.500  -0.11
Au  0.000  0.500  0.000  -0.04
Au  0.500  0.000  0.000  -0.04
O  0.000  0.000  0.000  0.03
N  0.000  0.000  0.500  1.16


[23]
PtAuN2O | SCAN | PBEsol geometry

Calculated values
The density of states at the Fermi level is 3.3 states/eV/f.u. As for the space group: P4/mmm, No. 123.

Unit cell a=3.710 b=3.710 c=4.591 alpha=90.00 beta=90.00 gamma=90.00
Element x y z (fractional)
Au  0.500  0.500  0.500
O  0.000  0.000  0.500
Pt  0.000  0.000  0.000
N  0.000  0.500  0.000
N  0.500  0.000  0.000


[24]
RbAuNO2 | SCAN | PBEsol geometry

Calculated values
The density of states at the Fermi level is 1.5 states/eV/f.u. As for the space group: P4/mmm, No. 123.

Unit cell a=4.322 b=4.322 c=5.066 alpha=90.00 beta=90.00 gamma=90.00
Site moments in Bohr magnetons follow the coordinates.
Element x y z (fractional)
Au  0.500  0.500  0.500  0.03
O  0.000  0.500  0.000  0.34
O  0.500  0.000  0.000  0.34
Rb  0.000  0.000  0.000  0.10
N  0.000  0.000  0.500  1.76


[25]
RbAuN2O | SCAN | PBEsol geometry

Calculated values
The density of states at the Fermi level is 0.5 states/eV/f.u. As for the space group: P4/mmm, No. 123.

Unit cell a=4.302 b=5.203 c=5.203 alpha=90.00 beta=90.00 gamma=90.00
Site moments in Bohr magnetons follow the coordinates.
Element x y z (fractional)
Au  0.500  0.500  0.500  -0.20
O  0.500  0.000  0.000  0.01
Rb  0.000  0.000  0.000  0.11
N  0.000  0.000  0.500  1.83
N  0.000  0.500  0.000  1.83


[26]
RuAuNO2 | SCAN | PBEsol geometry

Calculated values
The density of states at the Fermi level is 2.4 states/eV/f.u. As for the space group: P4/mmm, No. 123.

Unit cell a=3.771 b=4.102 c=4.102 alpha=90.00 beta=90.00 gamma=90.00
Site moments in Bohr magnetons follow the coordinates.
Element x y z (fractional)
Ru  0.500  0.500  0.500  3.40
Au  0.000  0.000  0.000  0.09
O  0.000  0.000  0.500  0.21
O  0.000  0.500  0.000  0.21
N  0.500  0.000  0.000  0.66


[27]
SbAuN2O | SCAN | PBEsol geometry

Calculated values
The density of states at the Fermi level is 1.4 states/eV/f.u. As for the space group: P4/mmm, No. 123.

Unit cell a=3.873 b=4.092 c=4.092 alpha=90.00 beta=90.00 gamma=90.00
Site moments in Bohr magnetons follow the coordinates.
Element x y z (fractional)
Sb  0.000  0.000  0.000  -0.06
Au  0.500  0.500  0.500  0.25
O  0.500  0.000  0.000  0.09
N  0.000  0.000  0.500  0.68
N  0.000  0.500  0.000  0.68


[28]
SiAuNO2 | SCAN | PBEsol geometry

Calculated values
The density of states at the Fermi level is 2.2 states/eV/f.u. As for the space group: P4/mmm, No. 123.

Unit cell a=3.707 b=4.164 c=4.164 alpha=90.00 beta=90.00 gamma=90.00
Element x y z (fractional)
Si  0.500  0.500  0.500
Au  0.000  0.000  0.000
O  0.000  0.000  0.500
O  0.000  0.500  0.000
N  0.500  0.000  0.000


[29]
SnAuNO2 | SCAN | PBEsol geometry

Calculated values
The density of states at the Fermi level is 0.7 states/eV/f.u. As for the space group: P4/mmm, No. 123.

Unit cell a=4.009 b=4.009 c=4.212 alpha=90.00 beta=90.00 gamma=90.00
Site moments in Bohr magnetons follow the coordinates.
Element x y z (fractional)
Au  0.500  0.500  0.500  0.22
Sn  0.000  0.000  0.000  -0.07
O  0.000  0.500  0.000  0.20
O  0.500  0.000  0.000  0.20
N  0.000  0.000  0.500  1.00


[30]
SnAuNO2 | SCAN | PBEsol geometry

Calculated values
The density of states at the Fermi level is 2.4 states/eV/f.u. As for the space group: P4/mmm, No. 123.

Unit cell a=3.753 b=4.238 c=4.238 alpha=90.00 beta=90.00 gamma=90.00
Element x y z (fractional)
Au  0.000  0.000  0.000
Sn  0.500  0.500  0.500
O  0.000  0.000  0.500
O  0.000  0.500  0.000
N  0.500  0.000  0.000


Record-wise uncorrected energy values, in eV/atom: -46.915; -60.684; -40.149; -41.296; -41.570; -41.529; -32.622; -32.753; -49.983; -32.627; -32.556; -39.062; -44.975; -44.536; -44.864; -42.304; -42.500; -37.791; -24.657; -30.360; -21.960; -44.984; -31.366; -20.322; -20.537; -23.854; -25.236; -19.105; -25.076; -24.795
Record-wise total magnetization values, in μB per formula unit: 0.00; 0.00; 1.44; 0.00; 0.00; 0.00; 0.00; 0.00; 0.00; 2.23; 2.29; 0.00; 0.00; 1.16; 0.00; 0.00; 0.00; 0.00; 4.00; 0.00; 0.00; 1.30; 0.00; 3.34; 5.05; 4.96; 2.08; 0.00; 2.00; 0.00